Record 1
LiAcTmRu | PBE-GGA | optimized geometry

E_form: -0.50 eV/f.u.
Fermi-level density of states: 0.6743 states/eV/atom

a = 7.2138 Å, b = 7.2138 Å, c = 7.2138 Å
α = 90.00°, β = 90.00°, γ = 90.00°
Last column: nearest neighbours and their distance in Å.
Space group F-43m (No. 216)
Inequivalent atoms, fractional coordinates:
1 Li 0.0000 0.0000 0.0000 x4  4 Ac 3.12, 4 Tm 3.12
2 Ac 0.2500 0.2500 0.7500 x4  4 Li 3.12, 4 Ru 3.12
3 Tm 0.2500 0.2500 0.2500 x4  4 Li 3.12, 4 Ru 3.12
4 Ru 0.0000 0.0000 0.5000 x4  4 Ac 3.12, 4 Tm 3.12

***

Record 2
LiAc2Zn6Ru | PBE-GGA | optimized geometry

E_form: -1.87 eV/f.u.
Fermi-level density of states: 0.4460 states/eV/atom

a = 6.6563 Å, b = 6.6577 Å, c = 6.6702 Å
α = 61.14°, β = 61.07°, γ = 61.00°
Last column: nearest neighbours and their distance in Å.
Space group P-1 (No. 2)
Inequivalent atoms, fractional coordinates:
1 Li 0.0000 0.0000 0.0000 x1  6 Zn 2.45-2.46
2 Ac 0.3025 0.3023 0.3015 x2  1 Ru 3.20, 6 Zn 3.35-3.39
3 Zn 0.1440 0.7518 0.7500 x2  1 Li 2.45, 1 Ru 2.50, 2 Zn 2.66-2.67
4 Zn 0.2500 0.2489 0.8554 x2  1 Li 2.45, 1 Ru 2.50, 2 Zn 2.66-2.67
5 Zn 0.2500 0.8564 0.2486 x2  1 Li 2.46, 1 Ru 2.50, 2 Zn 2.66
6 Ru 0.5000 0.5000 0.5000 x1  6 Zn 2.50

***

Copy entry 1 word for word.
LiAcTmRu | PBE-GGA | optimized geometry

E_form: -0.50 eV/f.u.
Fermi-level density of states: 0.6743 states/eV/atom

a = 7.2138 Å, b = 7.2138 Å, c = 7.2138 Å
α = 90.00°, β = 90.00°, γ = 90.00°
Last column: nearest neighbours and their distance in Å.
Space group F-43m (No. 216)
Inequivalent atoms, fractional coordinates:
1 Li 0.0000 0.0000 0.0000 x4  4 Ac 3.12, 4 Tm 3.12
2 Ac 0.2500 0.2500 0.7500 x4  4 Li 3.12, 4 Ru 3.12
3 Tm 0.2500 0.2500 0.2500 x4  4 Li 3.12, 4 Ru 3.12
4 Ru 0.0000 0.0000 0.5000 x4  4 Ac 3.12, 4 Tm 3.12

***

Q: What is the formula in the first record?
A: LiAcTmRu

***

Q: The highest E_form belongs to which entry?
A: LiAcTmRu

***

Q: Which value of Fermi-level density of states does entry 2 give?
A: 0.4460 states/eV/atom